No. 1
Material: HfMnMoIr
Method: DFT, PBE
State: relaxed

Magnetic moment: 2.136 Bohr magnetons per cell
ΔH_f (0 K): -0.2981 eV/atom
Raw total energy: -10.00 eV per atom

abc: 4.477 4.477 4.477
angles: 60.00 60.00 60.00
Last column: magnetic moment on the atom in μB.
Atoms (fractional coordinates):
Mo: 0.750 0.750 0.750  -0.91
Ir: 0.250 0.250 0.250  0.18
Hf: 0.500 0.500 0.500  -0.12
Mn: 0.000 0.000 0.000  2.97

=====

No. 2
Material: TcHPd
Method: DFT, PBE
State: relaxed

Relative energy among the computed polymorphs: 0 meV per atom
Magnetic moment: 0.000 Bohr magnetons per cell
Raw total energy: -6.35 eV per atom

abc: 2.829 9.410 2.828
angles: 81.41 59.99 90.03
Atoms (fractional coordinates):
Tc: 0.433 0.112 0.743
Tc: 0.174 0.334 0.262
Pd: 0.586 0.576 0.437
Pd: 0.009 0.843 0.589
H: 0.302 0.727 0.000
H: 0.728 0.998 0.152

=====

No. 3
Material: MgTc2BiSb
Method: DFT, PBE
State: relaxed

Raw formation energy: 1.58 eV per atom
Magnetic moment: 5.261 Bohr magnetons per cell
Raw total energy: -4.49 eV per atom

abc: 4.895 5.179 4.895
angles: 90.00 90.00 90.00
Last column: magnetic moment on the atom in μB.
Atoms (fractional coordinates):
Sb: 0.500 0.500 0.500  -0.04
Tc: 0.500 0.000 0.000  2.34
Tc: 0.000 0.000 0.500  2.34
Mg: 0.000 0.000 0.000  -0.02
Bi: 0.000 0.500 0.000  -0.05

=====

No. 4
Material: B2C
Method: DFT, PBE
State: relaxed

Relative energy among the computed polymorphs: 278 meV per atom
Magnetic moment: 0.000 Bohr magnetons per cell
ΔH_f (0 K): 0.4630 eV/atom
Raw total energy: -7.06 eV per atom

abc: 2.636 2.636 15.566
angles: 90.00 90.00 120.00
Atoms (fractional coordinates):
B: 0.333 0.667 0.378
B: 0.000 0.000 0.835
B: 0.000 0.000 0.205
B: 0.333 0.667 0.901
B: 0.667 0.333 0.138
B: 0.000 0.000 0.312
B: 0.333 0.667 0.490
B: 0.667 0.333 0.726
C: 0.000 0.000 0.735
C: 0.667 0.333 0.036
C: 0.667 0.333 0.492
C: 0.333 0.667 0.002

=====

No. 5
Material: Tl2SiPt
Method: DFT, PBE
State: relaxed

Raw formation energy: -0.11 eV per atom
Magnetic moment: 0.000 Bohr magnetons per cell
Raw total energy: -4.16 eV per atom

abc: 3.207 3.360 8.861
angles: 90.00 90.00 90.00
Atoms (fractional coordinates):
Tl: 0.500 0.500 0.308
Tl: 0.000 0.000 0.941
Pt: 0.000 0.000 0.576
Si: 0.500 0.500 0.675

=====

No. 6
Material: Pr2BeSe4
Method: DFT, PBE
State: relaxed

Raw formation energy: -1.51 eV per atom
Magnetic moment: 0.000 Bohr magnetons per cell
Raw total energy: -5.40 eV per atom

abc: 6.647 6.767 8.162
angles: 90.00 108.02 90.00
Atoms (fractional coordinates):
Be: 0.732 0.250 0.804
Be: 0.268 0.750 0.196
Se: 0.494 0.000 0.256
Se: 0.506 0.000 0.744
Se: 0.087 0.750 0.911
Se: 0.494 0.500 0.256
Se: 0.922 0.250 0.617
Se: 0.913 0.250 0.089
Se: 0.078 0.750 0.383
Se: 0.506 0.500 0.744
Pr: 0.758 0.750 0.566
Pr: 0.273 0.250 0.944
Pr: 0.242 0.250 0.434
Pr: 0.727 0.750 0.056

=====

No. 7
Material: TaSi3Tc
Method: DFT, PBE
State: relaxed

Relative energy among the computed polymorphs: 278 meV per atom
Raw formation energy: 1.31 eV per atom
Magnetic moment: 4.122 Bohr magnetons per cell
Raw total energy: -6.39 eV per atom

abc: 4.811 4.811 4.811
angles: 90.00 90.00 90.00
Last column: magnetic moment on the atom in μB.
Atoms (fractional coordinates):
Si: 0.500 0.000 0.000  -0.01
Si: 0.000 0.500 0.000  0.02
Si: 0.000 0.000 0.500  0.02
Ta: 0.000 0.000 0.000  0.22
Tc: 0.500 0.500 0.500  3.37

=====

No. 8
Material: TiZn3Pd
Method: DFT, PBE
State: relaxed

Relative energy among the computed polymorphs: 19 meV per atom
Magnetic moment: 0.000 Bohr magnetons per cell
ΔH_f (0 K): -0.2296 eV/atom
Raw total energy: -3.61 eV per atom

abc: 4.514 5.520 6.539
angles: 90.00 69.80 90.00
Atoms (fractional coordinates):
Zn: 0.986 0.750 0.528
Zn: 0.189 0.996 0.123
Zn: 0.811 0.004 0.877
Zn: 0.014 0.250 0.472
Zn: 0.811 0.496 0.877
Zn: 0.189 0.504 0.123
Pd: 0.374 0.750 0.752
Pd: 0.626 0.250 0.248
Ti: 0.406 0.250 0.688
Ti: 0.594 0.750 0.312

=====

No. 9
Material: PrSmSiPd
Method: DFT, PBE
State: relaxed

Relative energy among the computed polymorphs: 0 meV per atom
Raw formation energy: -0.75 eV per atom
Magnetic moment: 0.000 Bohr magnetons per cell
Raw total energy: -5.78 eV per atom

abc: 4.155 4.289 5.913
angles: 90.00 110.57 90.00
Atoms (fractional coordinates):
Sm: 0.862 0.500 0.723
Pr: 0.140 0.000 0.281
Pd: 0.426 0.000 0.852
Si: 0.572 0.500 0.144

=====

No. 10
Material: K2Tl2Pt
Method: DFT, PBE
State: relaxed

Relative energy among the computed polymorphs: 378 meV per atom
Magnetic moment: 0.311 Bohr magnetons per cell
ΔH_f (0 K): 0.2005 eV/atom
Raw total energy: -2.39 eV per atom

abc: 4.265 4.265 10.917
angles: 78.74 78.74 90.00
Last column: magnetic moment on the atom in μB.
Atoms (fractional coordinates):
K: 0.421 0.421 0.159  0.00
K: 0.579 0.579 0.841  0.00
Tl: 0.250 0.750 0.500  0.00
Tl: 0.750 0.250 0.500  0.00
Pt: 0.000 0.000 0.000  -0.28

=====

No. 11
Material: Mg3Cr5
Method: DFT, PBE
State: relaxed

Relative energy among the computed polymorphs: 47 meV per atom
Magnetic moment: 3.192 Bohr magnetons per cell
ΔH_f (0 K): 0.5520 eV/atom
Raw total energy: -6.06 eV per atom

abc: 9.681 7.961 4.290
angles: 90.00 90.00 127.45
Last column: magnetic moment on the atom in μB.
Atoms (fractional coordinates):
Cr: 0.180 0.229 0.750  0.04
Cr: 0.096 0.000 0.250  0.03
Cr: 0.952 0.772 0.750  0.03
Cr: 0.707 0.413 0.000  0.67
Cr: 0.903 0.000 0.750  0.03
Cr: 0.048 0.229 0.250  0.03
Cr: 0.819 0.771 0.250  0.04
Cr: 0.293 0.587 0.000  0.67
Cr: 0.707 0.413 0.500  0.67
Cr: 0.293 0.587 0.500  0.67
Mg: 0.060 0.643 0.250  0.00
Mg: 0.941 0.358 0.750  0.00
Mg: 0.355 0.000 0.750  0.00
Mg: 0.645 0.000 0.250  0.00
Mg: 0.417 0.358 0.250  0.00
Mg: 0.583 0.642 0.750  0.00

=====

No. 12
Material: Sc3TiBr
Method: DFT, PBE
State: relaxed

Relative energy among the computed polymorphs: 359 meV per atom
Raw formation energy: 0.52 eV per atom
Magnetic moment: 0.000 Bohr magnetons per cell
Raw total energy: -5.20 eV per atom

abc: 5.163 5.163 5.163
angles: 90.00 90.00 90.00
Atoms (fractional coordinates):
Sc: 0.500 0.000 0.000
Sc: 0.000 0.000 0.500
Sc: 0.000 0.500 0.000
Br: 0.500 0.500 0.500
Ti: 0.000 0.000 0.000